LiPmCo | PBE | relaxed

a = 6.069 Å, b = 6.069 Å, c = 6.069 Å
α = 90.00°, β = 90.00°, γ = 90.00°
Space group F-43m (No. 216)
Symmetry-distinct sites (fractional):
Li 0.000 0.000 0.000
Pm 0.250 0.250 0.750
Co 0.250 0.250 0.250

Computed properties:
DFT total energy, eV per atom: -4.11



Sm2GeO4 | PBE | relaxed

a = 9.756 Å, b = 9.756 Å, c = 9.756 Å
α = 90.00°, β = 90.00°, γ = 90.00°
Space group Fd-3m (No. 227, origin choice 2)
Symmetry-distinct sites (fractional):
Sm 0.000 0.000 0.000
Ge 0.125 0.125 0.625
O 0.010 0.010 0.240

Computed properties:
DFT total energy, eV per atom: -7.37



LiGdZnSe3 | PBE | relaxed

a = 11.927 Å, b = 4.054 Å, c = 11.684 Å
α = 90.00°, β = 90.00°, γ = 90.00°
Space group Pnma (No. 62)
Symmetry-distinct sites (fractional):
Li 0.120 0.250 0.012
Gd 0.038 0.250 0.680
Zn 0.239 0.250 0.288
Se 0.067 0.750 0.862
Se 0.092 0.250 0.429
Se 0.216 0.750 0.164

Computed properties:
DFT total energy, eV per atom: -4.32